1.
Material: Be2CdP
Method: DFT, meta-GGA SCAN
State: single point on PBEsol structure

a = 2.7021 Å, b = 2.7021 Å, c = 9.0678 Å
α = 81.43°, β = 81.43°, γ = 60.00°
Closest atoms and distances in Å follow each position.
Element x y z (fractional)
Be1 0.0037 0.0037 0.9888  3 P 2.31, 3 Be 2.32
Be2 0.7344 0.7344 0.7969  3 Be 2.32
P1 0.2734 0.2734 0.1799  3 Be 2.31
Cd1 0.4885 0.4885 0.5344  6 Cd 2.70, 3 Be 2.82

* formation energy: 0.486 eV per atom
* ρ: 4.75 Mg/m³
* space group: R3m (160)


2.
Material: Be2CdP
Method: DFT, meta-GGA SCAN
State: single point on PBEsol structure

a = 3.5027 Å, b = 3.5027 Å, c = 5.0549 Å
α = 110.27°, β = 110.27°, γ = 90.00°
Closest atoms and distances in Å follow each position.
Element x y z (fractional)
Cd1 0.5000 0.5000 0.0000  4 Be 2.48
Be1 0.7500 0.2500 0.5000  4 P 2.48
Be2 0.0000 0.0000 0.0000  4 Cd 2.48
P1 0.2500 0.7500 0.5000  4 Be 2.48

* formation energy: 0.541 eV per atom
* ρ: 4.96 Mg/m³
* space group: I-4m2 (119)


3.
Material: Be2CdP
Method: DFT, meta-GGA SCAN
State: single point on PBEsol structure

a = 3.3272 Å, b = 4.6039 Å, c = 4.6039 Å
α = 60.15°, β = 68.82°, γ = 68.82°
Closest atoms and distances in Å follow each position.
Element x y z (fractional)
Cd1 0.5000 0.0000 0.0000  8 Be 2.70-2.75, 4 P 2.84
Be1 0.2933 0.7067 0.7067  2 P 2.24
Be2 0.7067 0.2933 0.2933  2 P 2.24
P1 0.0000 0.5000 0.5000  4 Be 2.24

* formation energy: 0.518 eV per atom
* ρ: 4.82 Mg/m³
* space group: Immm (71)


4.
Material: Be2CdP
Method: DFT, meta-GGA SCAN
State: single point on PBEsol structure

a = 3.3351 Å, b = 3.9080 Å, c = 5.3692 Å
α = 97.57°, β = 90.00°, γ = 115.26°
Closest atoms and distances in Å follow each position.
Element x y z (fractional)
P1 0.6849 0.3698 0.8967  3 Be 2.11
Be1 0.2720 0.5440 0.1269  3 Be 2.06-2.30, 2 P 2.11
Be2 0.9784 0.9568 0.0448  3 Be 2.06-2.30, 1 P 2.11
Cd1 0.5647 0.1293 0.4316  3 Be 2.44-2.66, 1 P 2.52

* formation energy: 0.116 eV per atom
* ρ: 4.28 Mg/m³
* space group: Cm (8)


5.
Material: BeCdP2S
Method: DFT, meta-GGA SCAN
State: single point on PBEsol structure

a = 4.8486 Å, b = 4.8486 Å, c = 4.8836 Å
α = 90.00°, β = 90.00°, γ = 90.00°
Closest atoms and distances in Å follow each position.
Element x y z (fractional)
P1 0.0000 0.5000 0.0000  2 Cd 2.42
P2 0.5000 0.0000 0.0000  2 Cd 2.42
S1 0.0000 0.0000 0.5000  2 Cd 2.44
Cd1 0.0000 0.0000 0.0000  4 P 2.42, 2 S 2.44
Be1 0.5000 0.5000 0.5000  4 S 3.43, 8 P 3.44

* raw formation energy: 1.61 eV per atom
* ρ: 3.12 Mg/m³
* space group: P4/mmm (123)


6.
Material: BeCdPS2
Method: DFT, meta-GGA SCAN
State: single point on PBEsol structure

a = 4.0202 Å, b = 4.5437 Å, c = 4.5437 Å
α = 90.00°, β = 90.00°, γ = 90.00°
Closest atoms and distances in Å follow each position.
Element x y z (fractional)
Cd1 0.5000 0.5000 0.5000  8 S 3.03, 4 P 3.21
Be1 0.0000 0.0000 0.0000  2 P 2.01
P1 0.5000 0.0000 0.0000  2 Be 2.01
S1 0.0000 0.0000 0.5000  2 Be 2.27
S2 0.0000 0.5000 0.0000  2 Be 2.27

* raw formation energy: 0.36 eV per atom
* ρ: 4.33 Mg/m³
* space group: P4/mmm (123)


7.
Material: BeCdPb4
Method: DFT, meta-GGA SCAN
State: single point on PBEsol structure

a = 6.3042 Å, b = 6.3042 Å, c = 6.3042 Å
α = 60.00°, β = 60.00°, γ = 60.00°
Closest atoms and distances in Å follow each position.
Element x y z (fractional)
Pb1 0.3752 0.3752 0.8744  6 Pb 3.15-3.16
Pb2 0.8744 0.3752 0.3752  6 Pb 3.15-3.16
Pb3 0.3752 0.8744 0.3752  6 Pb 3.15-3.16
Pb4 0.3752 0.3752 0.3752  6 Pb 3.15-3.16
Cd1 0.0000 0.0000 0.0000  12 Pb 3.70, 4 Be 3.86
Be1 0.7500 0.7500 0.7500  12 Pb 3.70, 4 Cd 3.86

* formation energy: 0.674 eV per atom
* ρ: 8.91 Mg/m³
* space group: F-43m (216)


8.
Material: BeCdPb2
Method: DFT, meta-GGA SCAN
State: single point on PBEsol structure

a = 3.3684 Å, b = 3.3684 Å, c = 8.3449 Å
α = 90.00°, β = 90.00°, γ = 102.89°
Closest atoms and distances in Å follow each position.
Element x y z (fractional)
Cd1 0.5000 0.5000 0.0000  8 Pb 3.23-3.60, 4 Cd 3.37
Pb1 0.0000 0.0000 0.2937  2 Be 2.71
Pb2 0.0000 0.0000 0.7063  2 Be 2.71
Be1 0.5000 0.5000 0.5000  4 Pb 2.71

* formation energy: 0.366 eV per atom
* ρ: 9.64 Mg/m³
* space group: Cmmm (65)